# 1
Below is a relaxed LaZrSb2I crystal, with properties calculated at the PBE level.

Output
**Magnetization**: 0.22 μB/f.u.
**Formation energy without anion corrections**: -0.356 eV/atom

Cell and atoms, written as CIF:
```
data_LaZrSb2I
_cell_length_a 5.580
_cell_length_b 5.580
_cell_length_c 5.545
_cell_angle_alpha 90.00
_cell_angle_beta 90.00
_cell_angle_gamma 90.00
_symmetry_space_group_name_H-M 'P 4/m m m'
_symmetry_Int_Tables_number 123
_symmetry_space_group_name_Hall '-P 4 2'
loop_
_atom_site_label
_atom_site_type_symbol
_atom_site_fract_x
_atom_site_fract_y
_atom_site_fract_z
_atom_site_occupancy
La1 La 0.000 0.000 0.000 1
Zr1 Zr 0.500 0.500 0.500 1
Sb1 Sb 0.000 0.500 0.500 1
I1 I 0.500 0.500 0.000 1
```

# 2
Below is a relaxed PmErTc2O8 crystal, with properties calculated at the PBE level.

Output
**Magnetization**: 4.04 μB/f.u.
**Formation energy without anion corrections**: -2.237 eV/atom

Cell and atoms, written as CIF:
```
data_PmErTc2O8
_cell_length_a 5.232
_cell_length_b 5.232
_cell_length_c 11.288
_cell_angle_alpha 90.00
_cell_angle_beta 90.00
_cell_angle_gamma 90.00
_symmetry_space_group_name_H-M 'I -4'
_symmetry_Int_Tables_number 82
_symmetry_space_group_name_Hall 'I -4'
loop_
_atom_site_label
_atom_site_type_symbol
_atom_site_fract_x
_atom_site_fract_y
_atom_site_fract_z
_atom_site_occupancy
Pm1 Pm 0.000 0.000 0.000 1
Er1 Er 0.000 0.500 0.750 1
Tc1 Tc 0.000 0.000 0.500 1
Tc2 Tc 0.000 0.500 0.250 1
O1 O 0.162 0.253 0.589 1
O2 O 0.174 0.751 0.165 1
```

# 3
Below is a relaxed TaTc2Se crystal, with properties calculated at the PBE level.

Output
**Magnetization**: 0.00 μB/f.u.
**Formation energy without anion corrections**: -0.031 eV/atom

Cell and atoms, written as CIF:
```
data_TaTc2Se
_cell_length_a 3.035
_cell_length_b 3.035
_cell_length_c 6.903
_cell_angle_alpha 90.00
_cell_angle_beta 90.00
_cell_angle_gamma 90.00
_symmetry_space_group_name_H-M 'P 4 m m'
_symmetry_Int_Tables_number 99
_symmetry_space_group_name_Hall 'P 4 -2'
loop_
_atom_site_label
_atom_site_type_symbol
_atom_site_fract_x
_atom_site_fract_y
_atom_site_fract_z
_atom_site_occupancy
Ta1 Ta 0.000 0.000 0.000 1
Tc1 Tc 0.000 0.000 0.498 1
Tc2 Tc 0.500 0.500 0.280 1
Se1 Se 0.500 0.500 0.765 1
```

# 4
Below is a relaxed MgOs3 crystal, with properties calculated at the PBE level.

Output
**Magnetization**: 0.00 μB/f.u.
**ΔH_f (0 K)**: 440 meV per atom

Cell and atoms, written as CIF:
```
data_MgOs3
_cell_length_a 6.170
_cell_length_b 6.170
_cell_length_c 6.170
_cell_angle_alpha 90.00
_cell_angle_beta 90.00
_cell_angle_gamma 90.00
_symmetry_space_group_name_H-M 'F m -3 m'
_symmetry_Int_Tables_number 225
_symmetry_space_group_name_Hall '-F 4 2 3'
loop_
_atom_site_label
_atom_site_type_symbol
_atom_site_fract_x
_atom_site_fract_y
_atom_site_fract_z
_atom_site_occupancy
Mg1 Mg 0.000 0.000 0.000 1
Os1 Os 0.000 0.000 0.500 1
Os2 Os 0.250 0.250 0.250 1
```

# 5
Below is a relaxed Pu2AgHg crystal, with properties calculated at the PBE level.

Output
**Magnetization**: 12.02 μB/f.u.
**ΔH_f (0 K)**: 3 meV per atom

Cell and atoms, written as CIF:
```
data_Pu2AgHg
_cell_length_a 4.017
_cell_length_b 4.017
_cell_length_c 6.194
_cell_angle_alpha 90.00
_cell_angle_beta 90.00
_cell_angle_gamma 90.00
_symmetry_space_group_name_H-M 'P 4/m m m'
_symmetry_Int_Tables_number 123
_symmetry_space_group_name_Hall '-P 4 2'
loop_
_atom_site_label
_atom_site_type_symbol
_atom_site_fract_x
_atom_site_fract_y
_atom_site_fract_z
_atom_site_occupancy
Pu1 Pu 0.000 0.000 0.247 1
Ag1 Ag 0.500 0.500 0.000 1
Hg1 Hg 0.500 0.500 0.500 1
```

# 6
Below is a relaxed Pr8NiGe3Br4 crystal, with properties calculated at the PBE level.

Output
**Magnetization**: 0.00 μB/f.u.
**Formation energy without anion corrections**: -1.043 eV/atom

Cell and atoms, written as CIF:
```
data_Pr8NiGe3Br4
_cell_length_a 8.6285
_cell_length_b 8.6285
_cell_length_c 21.9584
_cell_angle_alpha 90.00
_cell_angle_beta 90.00
_cell_angle_gamma 120.00
_symmetry_space_group_name_H-M 'R -3 m'
_symmetry_Int_Tables_number 166
_symmetry_space_group_name_Hall '-R 3 2"'
loop_
_atom_site_label
_atom_site_type_symbol
_atom_site_fract_x
_atom_site_fract_y
_atom_site_fract_z
_atom_site_occupancy
Pr1 Pr 0.0000 0.0000 0.2396 1
Pr2 Pr 0.0124 0.5062 0.2369 1
Ni1 Ni 0.0000 0.0000 0.5000 1
Ge1 Ge 0.0000 0.5000 0.5000 1
Br1 Br 0.0000 0.0000 0.0000 1
Br2 Br 0.0000 0.5000 0.0000 1
```

# 7
Below is a relaxed La2SCl crystal, with properties calculated at the PBE level.

Output
**Magnetization**: 0.00 μB/f.u.
**E above lowest polymorph**: 0 meV per atom
**Formation energy without anion corrections**: -1.884 eV/atom

Cell and atoms, written as CIF:
```
data_La2SCl
_cell_length_a 4.1316
_cell_length_b 4.1316
_cell_length_c 20.5947
_cell_angle_alpha 90.00
_cell_angle_beta 90.00
_cell_angle_gamma 120.00
_symmetry_space_group_name_H-M 'R -3 m'
_symmetry_Int_Tables_number 166
_symmetry_space_group_name_Hall '-R 3 2"'
loop_
_atom_site_label
_atom_site_type_symbol
_atom_site_fract_x
_atom_site_fract_y
_atom_site_fract_z
_atom_site_occupancy
La1 La 0.0000 0.0000 0.2440 1
S1 S 0.0000 0.0000 0.5000 1
Cl1 Cl 0.0000 0.0000 0.0000 1
```

# 8
Below is a relaxed Pa3As4Pd4 crystal, with properties calculated at the PBE level.

Output
**Magnetization**: 1.38 μB/f.u.
**ΔH_f (0 K)**: -645 meV per atom

Cell and atoms, written as CIF:
```
data_Pa3As4Pd4
_cell_length_a 8.900
_cell_length_b 3.907
_cell_length_c 12.773
_cell_angle_alpha 90.00
_cell_angle_beta 90.00
_cell_angle_gamma 90.00
_symmetry_space_group_name_H-M 'A m m 2'
_symmetry_Int_Tables_number 38
_symmetry_space_group_name_Hall 'A 2 -2'
loop_
_atom_site_label
_atom_site_type_symbol
_atom_site_fract_x
_atom_site_fract_y
_atom_site_fract_z
_atom_site_occupancy
Pa1 Pa 0.000 0.000 0.000 1
Pa2 Pa 0.284 0.000 0.136 1
As1 As 0.000 0.000 0.676 1
As2 As 0.245 0.000 0.452 1
As3 As 0.500 0.000 0.735 1
Pd1 Pd 0.000 0.000 0.312 1
Pd2 Pd 0.237 0.000 0.814 1
Pd3 Pd 0.500 0.000 0.534 1
```

# 9
Below is a relaxed AlTeOs2 crystal, with properties calculated at the PBE level.

Output
**Magnetization**: 0.00 μB/f.u.
**E above lowest polymorph**: 52 meV per atom
**Formation energy without anion corrections**: 0.320 eV/atom

Cell and atoms, written as CIF:
```
data_AlTeOs2
_cell_length_a 9.192
_cell_length_b 3.153
_cell_length_c 4.624
_cell_angle_alpha 90.00
_cell_angle_beta 105.84
_cell_angle_gamma 90.00
_symmetry_space_group_name_H-M 'C 1 m 1'
_symmetry_Int_Tables_number 8
_symmetry_space_group_name_Hall 'C -2y'
loop_
_atom_site_label
_atom_site_type_symbol
_atom_site_fract_x
_atom_site_fract_y
_atom_site_fract_z
_atom_site_occupancy
Al1 Al 0.000 0.000 0.000 1
Te1 Te 0.238 0.000 0.623 1
Os1 Os 0.234 0.500 0.085 1
Os2 Os 0.494 0.000 0.484 1
```

# 10
Below is a relaxed Be3TlH crystal, with properties calculated at the PBE level.

Output
**Magnetization**: 0.00 μB/f.u.
**E above lowest polymorph**: 753 meV per atom

Cell and atoms, written as CIF:
```
data_Be3TlH
_cell_length_a 4.582
_cell_length_b 4.582
_cell_length_c 4.582
_cell_angle_alpha 90.00
_cell_angle_beta 90.00
_cell_angle_gamma 90.00
_symmetry_space_group_name_H-M 'P m -3 m'
_symmetry_Int_Tables_number 221
_symmetry_space_group_name_Hall '-P 4 2 3'
loop_
_atom_site_label
_atom_site_type_symbol
_atom_site_fract_x
_atom_site_fract_y
_atom_site_fract_z
_atom_site_occupancy
Be1 Be 0.000 0.000 0.500 1
Tl1 Tl 0.000 0.000 0.000 1
H1 H 0.500 0.500 0.500 1
```

# 11
Below is a relaxed BaInSe2 crystal, with properties calculated at the PBE level.

Output
**Magnetization**: 0.00 μB/f.u.
**Formation energy without anion corrections**: -1.047 eV/atom

Cell and atoms, written as CIF:
```
data_BaInSe2
_cell_length_a 4.031
_cell_length_b 4.248
_cell_length_c 14.437
_cell_angle_alpha 90.00
_cell_angle_beta 90.00
_cell_angle_gamma 90.00
_symmetry_space_group_name_H-M 'I m m 2'
_symmetry_Int_Tables_number 44
_symmetry_space_group_name_Hall 'I 2 -2'
loop_
_atom_site_label
_atom_site_type_symbol
_atom_site_fract_x
_atom_site_fract_y
_atom_site_fract_z
_atom_site_occupancy
Ba1 Ba 0.000 0.000 0.000 1
In1 In 0.000 0.500 0.744 1
Se1 Se 0.000 0.000 0.401 1
Se2 Se 0.000 0.500 0.181 1
```

# 12
Below is a relaxed Al2VHgPb crystal, with properties calculated at the PBE level.

Output
**Magnetization**: 2.78 μB/f.u.
**ΔH_f (0 K)**: 551 meV per atom

Cell and atoms, written as CIF:
```
data_Al2VHgPb
_cell_length_a 5.009
_cell_length_b 5.009
_cell_length_c 5.299
_cell_angle_alpha 90.00
_cell_angle_beta 90.00
_cell_angle_gamma 90.00
_symmetry_space_group_name_H-M 'P 4/m m m'
_symmetry_Int_Tables_number 123
_symmetry_space_group_name_Hall '-P 4 2'
loop_
_atom_site_label
_atom_site_type_symbol
_atom_site_fract_x
_atom_site_fract_y
_atom_site_fract_z
_atom_site_occupancy
Al1 Al 0.000 0.500 0.000 1
V1 V 0.000 0.000 0.000 1
Hg1 Hg 0.500 0.500 0.500 1
Pb1 Pb 0.000 0.000 0.500 1
```

Let's list Fermi-level density of states in order: 5.2 1.0 4.3 19.3 15.8 32.1 6.9 19.5 3.8 0.1 1.4 3.3 states/eV per cell.